Record 1
Zr7V5N2: PBEsol geometry, SCAN.

Summary:
Electronic total energy in hartree per atom: -0.86256

Cell: 8.557 8.610 12.116 Å, 90.00 90.00 90.00°
Space group Imma (No. 74)
Symmetry-distinct sites (fractional):
Zr  0.000  0.000  0.000 (multiplicity 4)
Zr  0.000  0.250  0.189 (multiplicity 4)
Zr  0.000  0.250  0.560 (multiplicity 4)
Zr  0.184  0.062  0.374 (multiplicity 16)
V  0.000  0.098  0.788 (multiplicity 8)
V  0.166  0.250  0.941 (multiplicity 8)
V  0.250  0.250  0.750 (multiplicity 4)
N  0.000  0.000  0.500 (multiplicity 4)
N  0.250  0.250  0.250 (multiplicity 4)



Record 2
CoCuTeN2: PBEsol geometry, SCAN.

Summary:
Electronic total energy in hartree per atom: -0.59568

Cell: 3.660 3.660 5.489 Å, 90.00 90.00 90.00°
Space group P4/mmm (No. 123)
Symmetry-distinct sites (fractional):
Co  0.000  0.000  0.000 (multiplicity 1)
Cu  0.500  0.500  0.500 (multiplicity 1)
Te  0.500  0.500  0.000 (multiplicity 1)
N  0.000  0.500  0.500 (multiplicity 2)



Q: Which formula does entry 1 have?
A: Zr7V5N2